# ScBe2In GGA-PBE optimized geometry
data_ScBe2In
_chemical_formula_sum 'Sc2 Be4 In2'
_cell_length_a 3.515
_cell_length_b 4.024
_cell_length_c 9.433
_cell_angle_alpha 90.00
_cell_angle_beta 90.00
_cell_angle_gamma 90.00
_symmetry_space_group_name_H-M 'I m m 2'
_symmetry_Int_Tables_number 44
_symmetry_space_group_name_Hall 'I 2 -2'
loop_
_atom_site_label
_atom_site_fract_x
_atom_site_fract_y
_atom_site_fract_z
Sc1 0.000 0.000 0.000
Be1 0.000 0.000 0.414
Be2 0.000 0.500 0.774
In1 0.000 0.500 0.232
# Total magnetization   0.00 μB/atom
# ΔE_f   181 meV/atom



# Pm3Pr2Y6In GGA-PBE optimized geometry
data_Pm3Pr2Y6In
_chemical_formula_sum 'Pm6 Pr4 Y12 In2'
_cell_length_a 6.184
_cell_length_b 10.715
_cell_length_c 11.843
_cell_angle_alpha 90.00
_cell_angle_beta 100.05
_cell_angle_gamma 90.00
_symmetry_space_group_name_H-M 'C 1 2/m 1'
_symmetry_Int_Tables_number 12
_symmetry_space_group_name_Hall '-C 2y'
loop_
_atom_site_label
_atom_site_fract_x
_atom_site_fract_y
_atom_site_fract_z
Pm1 0.000 0.000 0.000
Pm2 0.000 0.333 0.000
Pr1 0.000 0.166 0.500
Y1 0.244 0.500 0.252
Y2 0.245 0.337 0.747
In1 0.000 0.500 0.500
# Total magnetization   0.00 μB/atom
# ΔE_f   -62 meV/atom



# HfNp2O8 GGA-PBE optimized geometry
data_HfNp2O8
_chemical_formula_sum 'Hf2 Np4 O16'
_cell_length_a 9.352
_cell_length_b 6.849
_cell_length_c 4.860
_cell_angle_alpha 90.00
_cell_angle_beta 106.16
_cell_angle_gamma 90.00
_symmetry_space_group_name_H-M 'C 1 2/m 1'
_symmetry_Int_Tables_number 12
_symmetry_space_group_name_Hall '-C 2y'
loop_
_atom_site_label
_atom_site_fract_x
_atom_site_fract_y
_atom_site_fract_z
Hf1 0.000 0.000 0.000
Np1 0.155 0.500 0.290
O1 0.066 0.500 0.792
O2 0.142 0.000 0.743
O3 0.142 0.209 0.247
# Calculated total energy   -9.690 eV per atom
# Total magnetization   0.18 μB/atom



# Nd2TmZnSe5 GGA-PBE optimized geometry
data_Nd2TmZnSe5
_chemical_formula_sum 'Nd8 Tm4 Zn4 Se20'
_cell_length_a 4.013
_cell_length_b 17.810
_cell_length_c 12.444
_cell_angle_alpha 90.00
_cell_angle_beta 90.00
_cell_angle_gamma 90.00
_symmetry_space_group_name_H-M 'C m c 21'
_symmetry_Int_Tables_number 36
_symmetry_space_group_name_Hall 'C 2c -2'
loop_
_atom_site_label
_atom_site_fract_x
_atom_site_fract_y
_atom_site_fract_z
Nd1 0.000 0.115 0.000
Nd2 0.000 0.131 0.631
Tm1 0.000 0.199 0.332
Zn1 0.000 0.447 0.767
Se1 0.000 0.044 0.377
Se2 0.000 0.288 0.990
Se3 0.000 0.313 0.672
Se4 0.000 0.356 0.319
Se5 0.000 0.496 0.092
# Calculated total energy   -5.216 eV per atom
# Total magnetization   0.00 μB/atom



# DyPt3Au GGA-PBE optimized geometry
data_DyPt3Au
_chemical_formula_sum 'Dy2 Pt6 Au2'
_cell_length_a 5.050
_cell_length_b 5.654
_cell_length_c 7.191
_cell_angle_alpha 90.00
_cell_angle_beta 109.10
_cell_angle_gamma 90.00
_symmetry_space_group_name_H-M 'P 1 21/m 1'
_symmetry_Int_Tables_number 11
_symmetry_space_group_name_Hall '-P 2yb'
loop_
_atom_site_label
_atom_site_fract_x
_atom_site_fract_y
_atom_site_fract_z
Dy1 0.233 0.250 0.256
Pt1 0.231 0.014 0.665
Pt2 0.282 0.750 0.359
Au1 0.385 0.750 0.010
# Energy relative to the lowest polymorph listed for this composition   0.0 meV/atom
# Total magnetization   0.00 μB/atom
# ΔE_f   -651 meV/atom



# CaTbCl5 GGA-PBE optimized geometry
data_CaTbCl5
_chemical_formula_sum 'Ca2 Tb2 Cl10'
_cell_length_a 8.010
_cell_length_b 4.028
_cell_length_c 13.075
_cell_angle_alpha 90.00
_cell_angle_beta 94.27
_cell_angle_gamma 90.00
_symmetry_space_group_name_H-M 'P 1 21/m 1'
_symmetry_Int_Tables_number 11
_symmetry_space_group_name_Hall '-P 2yb'
loop_
_atom_site_label
_atom_site_fract_x
_atom_site_fract_y
_atom_site_fract_z
Ca1 0.087 0.250 0.136
Tb1 0.417 0.750 0.349
Cl1 0.085 0.750 0.314
Cl2 0.131 0.250 0.927
Cl3 0.327 0.250 0.481
Cl4 0.347 0.750 0.142
Cl5 0.390 0.750 0.703
# Calculated total energy   -4.538 eV per atom
# Total magnetization   0.00 μB/atom



# CsCuO GGA-PBE optimized geometry
data_CsCuO
_chemical_formula_sum 'Cs1 Cu1 O1'
_cell_length_a 3.6569
_cell_length_b 3.6569
_cell_length_c 4.9469
_cell_angle_alpha 90.00
_cell_angle_beta 90.00
_cell_angle_gamma 120.00
_symmetry_space_group_name_H-M 'P -6 m 2'
_symmetry_Int_Tables_number 187
_symmetry_space_group_name_Hall 'P -6 2'
loop_
_atom_site_label
_atom_site_fract_x
_atom_site_fract_y
_atom_site_fract_z
Cs1 0.0000 0.0000 0.0000
Cu1 0.6667 0.3333 0.5000
O1 0.3333 0.6667 0.5000
# Calculated total energy   -3.788 eV per atom
# Total magnetization   0.00 μB/atom